Record 1
PBE-GGA CaHS2N, relaxed; excess energy over the best structure of this formula in the dataset = 0 meV per atom; volume = 74 Å³/cell
1.0
-0.038 2.057 -3.026
0.046 -3.026 -2.057
-5.496 -0.089 0.008
S Ca H N
2 1 1 1
Direct
0.000 0.500 0.000
0.500 0.000 0.000
0.500 0.500 0.500
0.000 0.000 0.000
0.000 0.000 0.500

Record 2
PBE-GGA CaHSeN2, relaxed; excess energy over the best structure of this formula in the dataset = 0 meV per atom; volume = 59 Å³/cell
1.0
4.145 0.000 0.000
0.000 4.145 0.000
0.000 0.000 3.408
Ca N H Se
1 2 1 1
Direct
0.500 0.500 0.500
0.500 0.000 0.000
0.000 0.500 0.000
0.000 0.000 0.000
0.000 0.000 0.500

Record 3
PBE-GGA CaHSeN2, relaxed; excess energy over the best structure of this formula in the dataset = 785 meV per atom; volume = 135 Å³/cell
1.0
-4.710 -0.404 0.608
0.132 -4.377 -1.883
0.895 -2.300 5.410
N Ca H Se
2 1 1 1
Direct
0.000 0.500 0.000
0.500 0.000 0.000
0.000 0.000 0.000
0.500 0.500 0.500
0.000 0.000 0.500

Record 4
PBE-GGA SrCaHN, relaxed; energy = -18.15 eV/cell; volume = 72 Å³/cell
1.0
-0.442 2.512 -2.673
-3.370 1.303 -0.772
-0.471 5.764 2.940
N H Ca Sr
1 1 1 1
Direct
0.995 0.995 0.015
0.504 0.504 0.489
0.262 0.262 0.213
0.739 0.739 0.784

Record 5
PBE-GGA CaTaH2N, relaxed; energy = -31.74 eV/cell; volume = 58 Å³/cell
1.0
3.786 0.000 0.000
0.000 3.786 0.000
0.000 0.000 4.072
H Ta Ca N
2 1 1 1
Direct
0.500 0.000 0.000
0.000 0.500 0.000
0.000 0.000 0.000
0.500 0.500 0.500
0.000 0.000 0.500

Record 6
PBE-GGA CaTcH2N, relaxed; energy = -29.80 eV/cell; volume = 53 Å³/cell
1.0
-0.274 -0.134 3.646
2.463 -2.703 0.086
2.886 2.640 0.314
H Tc N Ca
2 1 1 1
Direct
0.500 0.000 0.000
0.000 0.500 0.000
0.000 0.000 0.000
0.000 0.000 0.500
0.500 0.500 0.500

Record 7
PBE-GGA Ca5TcH2N4, relaxed; energy = -67.33 eV/cell; volume = 192 Å³/cell
1.0
5.914 0.000 0.000
-2.957 4.770 0.000
0.000 0.000 6.793
Ca Tc N H
5 1 4 2
Direct
0.718 0.649 0.233
0.718 0.649 0.767
0.069 0.351 0.233
0.069 0.351 0.767
0.407 0.000 0.500
0.383 0.000 0.000
0.375 0.326 0.000
0.618 0.000 0.796
0.618 0.000 0.204
0.048 0.674 0.000
0.972 0.562 0.500
0.410 0.438 0.500

Record 8
PBE-GGA CaTeHN2, relaxed; excess energy over the best structure of this formula in the dataset = 0 meV per atom; volume = 68 Å³/cell
1.0
-3.340 0.156 -2.823
2.679 -1.225 -3.237
-0.730 -3.382 0.676
Te H N Ca
1 1 2 1
Direct
0.000 0.000 0.500
0.000 0.000 0.000
0.000 0.500 0.000
0.500 0.000 0.000
0.500 0.500 0.500